No. 1
Computed, not measured: Tl5Hg2As2 after structural relaxation at the PBE level of DFT.

Cell: 16.8569 8.5144 7.5665 Å, 90.00 90.00 90.00°
Last column: nearest neighbours and their distance in Å.
Space group Cmce (No. 64)
Asymmetric unit:
Tl 0.0000 0.0000 0.0000  4 As 3.23-3.33
Tl 0.1307 0.1925 0.3254  2 As 3.07-3.24, 3 Hg 3.28-3.32
Hg 0.2203 0.0000 0.0000  6 Tl 3.28-3.32
As 0.0000 0.1185 0.5945  1 As 2.47

## Properties
energy of formation from the pure elements	0.08	eV per formula unit
V	30.2	Å³/atom
final energy	-2.406	eV per atom
spin magnetization	0.0	μB per cell


No. 2
Computed, not measured: Tl6Hg5As after structural relaxation at the PBE level of DFT.

Cell: 10.0238 15.4005 5.3235 Å, 90.00 121.90 90.00°
Last column: nearest neighbours and their distance in Å.
Space group C2/m (No. 12)
Asymmetric unit:
Tl 0.2146 0.0000 0.2143  2 As 3.22-3.23, 6 Hg 3.40-3.61, 4 Tl 3.58
Tl 0.2254 0.1550 0.7251  1 As 3.06, 4 Hg 3.32-3.34
Hg 0.0000 0.1916 0.0000  8 Tl 3.32-3.47, 2 Hg 3.57
Hg 0.0000 0.3456 0.5000  8 Tl 3.40-3.55, 4 Hg 3.57
Hg 0.0000 0.5000 0.0000  8 Tl 3.34-3.61, 4 Hg 3.57
As 0.0000 0.0000 0.5000  8 Tl 3.06-3.23

## Properties
energy of formation from the pure elements	0.00	eV per formula unit
V	29.1	Å³/atom
final energy	-1.696	eV per atom
spin magnetization	0.0	μB per cell


No. 3
Computed, not measured: Tl12HgAs6 after structural relaxation at the PBE level of DFT.

Cell: 10.4378 10.4378 10.4378 Å, 90.00 90.00 90.00°
Last column: nearest neighbours and their distance in Å.
Space group Im-3 (No. 204)
Asymmetric unit:
Tl 0.0000 0.2796 0.1955  3 As 3.02-3.31
Hg 0.0000 0.0000 0.0000  12 Tl 3.56
As 0.0000 0.1168 0.5000  1 As 2.44

## Properties
energy of formation from the pure elements	0.22	eV per formula unit
V	29.9	Å³/atom
final energy	-2.967	eV per atom
spin magnetization	0.0	μB per cell


No. 4
Computed, not measured: Tl6Hg12As after structural relaxation at the PBE level of DFT.

Cell: 15.4911 15.4911 8.5362 Å, 90.00 90.00 120.00°
Last column: nearest neighbours and their distance in Å.
Space group R-3 (No. 148, hexagonal axes)
Asymmetric unit:
Tl 0.0560 0.1791 0.3062  1 As 2.96, 2 Hg 3.21-3.24
Hg 0.0166 0.2875 0.5946  5 Hg 3.21-3.37, 3 Tl 3.21-3.46
Hg 0.0870 0.2299 0.9247  6 Hg 3.21-3.37, 2 Tl 3.32-3.33
As 0.0000 0.0000 0.5000  6 Tl 2.96

## Properties
energy of formation from the pure elements	0.10	eV per formula unit
V	31.1	Å³/atom
final energy	-1.177	eV per atom
spin magnetization	0.0	μB per cell


No. 5
Computed, not measured: TlHg2As after structural relaxation at the PBE level of DFT.

Cell: 3.3970 3.3970 8.8083 Å, 90.00 90.00 90.00°
Last column: nearest neighbours and their distance in Å.
Space group P4/mmm (No. 123)
Asymmetric unit:
Tl 0.0000 0.0000 0.0000  4 Tl 3.40, 8 Hg 3.43
Hg 0.5000 0.5000 0.2772  4 As 3.10, 4 Hg 3.40, 4 Tl 3.43
As 0.0000 0.0000 0.5000  8 Hg 3.10, 4 As 3.40

## Properties
energy of formation from the pure elements	0.86	eV per formula unit
V	25.4	Å³/atom
final energy	-1.690	eV per atom
distance to the lowest polymorph of the same formula	98.6	meV per atom
spin magnetization	0.0	μB per cell


No. 6
Computed, not measured: Tl3HgAs after structural relaxation at the PBE level of DFT.

Cell: 5.7101 5.7101 5.7101 Å, 90.00 90.00 90.00°
Last column: nearest neighbours and their distance in Å.
Space group Pm-3m (No. 221)
Asymmetric unit:
Tl 0.0000 0.0000 0.5000  2 As 2.86
Hg 0.5000 0.5000 0.5000  12 Tl 4.04
As 0.0000 0.0000 0.0000  6 Tl 2.86

## Properties
energy of formation from the pure elements	1.34	eV per formula unit
V	37.2	Å³/atom
final energy	-2.142	eV per atom
distance to the lowest polymorph of the same formula	219.4	meV per atom
spin magnetization	0.0	μB per cell


Number 1: density 9.62 g/cm3. Number 2: density 10.97 g/cm3. Number 3: density 9.06 g/cm3. Number 4: density 10.41 g/cm3. Number 5: density 11.12 g/cm3. Number 6: density 7.93 g/cm3.